## Tl3I (PBE)

Data for a geometry-optimized Tl3I structure.

Results
Energy above the most stable polymorph in this dataset in meV/atom: 0.0
Mass density in g cm⁻³: 8.81
Density of states at the Fermi level in states/eV/cell: 1.4
Formation energy without anion corrections in eV per atom: -0.197
Space group: Pmm2

Cell: 4.131 5.811 5.812 Å, 90.00 90.00 90.00°
Sites, in units of the cell vectors:
Tl 0.000 0.000 0.000
Tl 0.000 0.500 0.490
Tl 0.500 0.500 0.990
I 0.500 0.000 0.499